No. 1
In2Sn3Hg2 | PBE | optimized geometry

Unit cell a=4.923 b=4.923 c=13.949 alpha=69.78 beta=115.13 gamma=140.91
Sites, in units of the cell vectors:
Hg (0.425, 0.714, 0.139)
Sn (0.282, 0.143, 0.425)
Sn (0.718, 0.857, 0.575)
Hg (0.575, 0.286, 0.861)
In (0.847, 0.429, 0.276)
Sn (0.000, 0.000, 0.000)
In (0.153, 0.571, 0.724)

Properties
- formation enthalpy at 0 K (eV/atom) = 0.0373
- crystal system = monoclinic
- ρ (g/cm3) = 8.50
- space-group type = C2/m
- V (Å³ per cell) = 192.9
- magnetization (μB/f.u.) = 0.0

No. 2
Na2TlAsF6 | PBE | optimized geometry

Unit cell a=6.559 b=6.559 c=6.559 alpha=60.00 beta=60.00 gamma=60.00
Sites, in units of the cell vectors:
F (0.222, 0.778, 0.222)
F (0.778, 0.222, 0.222)
As (0.000, 0.000, 0.000)
F (0.222, 0.778, 0.778)
Tl (0.500, 0.500, 0.500)
F (0.222, 0.222, 0.778)
Na (0.750, 0.750, 0.750)
Na (0.250, 0.250, 0.250)
F (0.778, 0.222, 0.778)
F (0.778, 0.778, 0.222)

Properties
- crystal system = cubic
- ρ (g/cm3) = 3.66
- space-group type = Fm-3m
- excess energy over the best structure of this formula in the dataset (kJ per mole of atoms) = 20.95
- V (Å³ per cell) = 199.5
- magnetization (μB/f.u.) = 0.0

No. 3
Sm2TcB10 | PBE | optimized geometry

Unit cell a=4.192 b=5.772 c=11.496 alpha=90.00 beta=90.00 gamma=90.00
Sites, in units of the cell vectors:
B (0.000, 0.437, 0.693)
B (0.000, 0.119, 0.542)
B (0.300, 0.726, 0.381)
B (0.000, 0.063, 0.193)
Sm (0.500, 0.719, 0.133)
B (0.700, 0.226, 0.119)
B (0.000, 0.937, 0.807)
Sm (0.500, 0.219, 0.367)
B (0.000, 0.871, 0.302)
B (0.000, 0.629, 0.802)
Tc (0.000, 0.500, 0.500)
B (0.000, 0.563, 0.307)
B (0.000, 0.881, 0.458)
B (0.700, 0.726, 0.381)
B (0.700, 0.774, 0.881)
Sm (0.500, 0.281, 0.867)
B (0.000, 0.129, 0.698)
Sm (0.500, 0.781, 0.633)
Tc (0.000, 0.000, 0.000)
B (0.000, 0.381, 0.042)
B (0.700, 0.274, 0.619)
B (0.300, 0.226, 0.119)
B (0.300, 0.274, 0.619)
B (0.000, 0.371, 0.198)
B (0.000, 0.619, 0.958)
B (0.300, 0.774, 0.881)

Properties
- formation enthalpy at 0 K (eV/atom) = -0.4262
- crystal system = orthorhombic
- ρ (g/cm3) = 6.05
- space-group type = Pbam
- V (Å³ per cell) = 278.2
- magnetization (μB/f.u.) = 0.0

No. 4
U2Pd12Au5 | PBE | optimized geometry

Unit cell a=7.562 b=7.562 c=7.597 alpha=108.66 beta=110.29 gamma=109.28
Sites, in units of the cell vectors:
Pd (0.482, 0.857, 0.807)
Au (0.622, 0.292, 0.913)
Au (0.500, 0.000, 0.500)
Pd (0.815, 0.890, 0.705)
Pd (0.721, 0.587, 0.308)
Pd (0.370, 0.556, 0.382)
Pd (0.174, 0.988, 0.618)
Au (0.950, 0.333, 0.283)
Pd (0.518, 0.143, 0.193)
Pd (0.630, 0.444, 0.618)
Pd (0.049, 0.675, 0.193)
Au (0.050, 0.667, 0.717)
Pd (0.185, 0.110, 0.295)
U (0.238, 0.238, 0.000)
Pd (0.951, 0.325, 0.807)
U (0.762, 0.762, 0.000)
Pd (0.826, 0.012, 0.382)
Au (0.378, 0.708, 0.087)
Pd (0.279, 0.413, 0.692)

Properties
- formation enthalpy at 0 K (eV/atom) = -0.2357
- crystal system = monoclinic
- ρ (g/cm3) = 13.57
- space-group type = C2/m
- excess energy over the best structure of this formula in the dataset (kJ per mole of atoms) = 1.14
- V (Å³ per cell) = 335.1
- magnetization (μB/f.u.) = 2.0

No. 5
MgHgTe4 | PBE | optimized geometry

Unit cell a=6.439 b=6.439 c=6.439 alpha=60.00 beta=60.00 gamma=60.00
Sites, in units of the cell vectors:
Te (0.375, 0.375, 0.876)
Te (0.876, 0.375, 0.375)
Mg (0.000, 0.000, 0.000)
Hg (0.750, 0.750, 0.750)
Te (0.375, 0.876, 0.375)
Te (0.375, 0.375, 0.375)

Properties
- final energy (eV/atom) = -2.199
- crystal system = cubic
- ρ (g/cm3) = 6.47
- space-group type = F-43m
- V (Å³ per cell) = 188.8
- magnetization (μB/f.u.) = 0.0

No. 6
ZrCd2Tc | PBE | optimized geometry

Unit cell a=4.654 b=2.861 c=6.191 alpha=66.85 beta=90.00 gamma=90.00
Sites, in units of the cell vectors:
Zr (0.500, 0.750, 0.750)
Tc (0.500, 0.250, 0.250)
Cd (0.000, 0.489, 0.490)
Cd (0.000, 0.011, 0.010)

Properties
- formation enthalpy at 0 K (eV/atom) = 0.1205
- crystal system = monoclinic
- ρ (g/cm3) = 9.07
- space-group type = P2/m
- excess energy over the best structure of this formula in the dataset (kJ per mole of atoms) = 11.77
- V (Å³ per cell) = 75.8
- magnetization (μB/f.u.) = 0.0

No. 7
CrTcCl | PBE | optimized geometry

Unit cell a=6.659 b=6.336 c=2.995 alpha=82.78 beta=70.72 gamma=26.50
Sites, in units of the cell vectors:
Cr (0.327, 0.327, 0.673)
Tc (0.688, 0.688, 0.312)
Cl (0.985, 0.985, 0.015)

Properties
- crystal system = orthorhombic
- ρ (g/cm3) = 6.32
- space-group type = Fmm2
- excess energy over the best structure of this formula in the dataset (kJ per mole of atoms) = 15.20
- V (Å³ per cell) = 48.7
- magnetization (μB/f.u.) = 1.3

No. 8
Pm4InRh2 | PBE | optimized geometry

Unit cell a=8.851 b=8.850 c=7.039 alpha=107.42 beta=107.38 gamma=121.21
Sites, in units of the cell vectors:
Pm (0.370, 0.546, 0.272)
Pm (0.796, 0.119, 0.772)
Rh (0.612, 0.197, 0.052)
In (0.048, 0.034, 0.103)
Pm (0.954, 0.277, 0.400)
In (0.284, 0.798, 0.600)
Pm (0.827, 0.606, 0.579)
Pm (0.391, 0.991, 0.224)
Pm (0.241, 0.141, 0.722)
Rh (0.108, 0.540, 0.874)
Pm (0.526, 0.705, 0.900)
Rh (0.790, 0.859, 0.373)
Pm (0.854, 0.575, 0.077)
Rh (0.448, 0.364, 0.552)

Properties
- formation enthalpy at 0 K (eV/atom) = -0.5452
- crystal system = triclinic
- ρ (g/cm3) = 8.00
- space-group type = P1
- V (Å³ per cell) = 374.0
- magnetization (μB/f.u.) = 0.0

No. 9
TiMnNi6 | PBE | optimized geometry

Unit cell a=3.588 b=3.588 c=7.187 alpha=90.00 beta=90.00 gamma=90.00
Sites, in units of the cell vectors:
Ti (0.000, 0.000, 0.000)
Ni (0.000, 0.500, 0.251)
Mn (0.000, 0.000, 0.500)
Ni (0.500, 0.000, 0.251)
Ni (0.000, 0.500, 0.749)
Ni (0.500, 0.500, 0.000)
Ni (0.500, 0.000, 0.749)
Ni (0.500, 0.500, 0.500)

Properties
- formation enthalpy at 0 K (eV/atom) = -0.2807
- crystal system = tetragonal
- ρ (g/cm3) = 8.16
- space-group type = P4/mmm
- excess energy over the best structure of this formula in the dataset (kJ per mole of atoms) = 0.21
- V (Å³ per cell) = 92.6
- magnetization (μB/f.u.) = 4.7

No. 10
NaSbAu | PBE | optimized geometry

Unit cell a=4.751 b=4.752 c=8.088 alpha=90.00 beta=90.00 gamma=60.00
Sites, in units of the cell vectors:
Au (0.821, 0.228, 0.123)
Sb (0.488, 0.894, 0.289)
Na (0.155, 0.561, 0.997)
Na (0.155, 0.561, 0.581)
Au (0.821, 0.228, 0.455)
Sb (0.822, 0.227, 0.789)

Properties
- final energy (eV/atom) = -3.061
- crystal system = hexagonal
- ρ (g/cm3) = 7.18
- space-group type = P-6m2
- V (Å³ per cell) = 158.1
- magnetization (μB/f.u.) = 0.0

No. 11
MgAl2Rh2 | PBE | optimized geometry

Unit cell a=3.782 b=3.782 c=6.428 alpha=72.89 beta=72.89 gamma=90.00
Sites, in units of the cell vectors:
Rh (0.388, 0.388, 0.224)
Rh (0.612, 0.612, 0.776)
Al (0.750, 0.250, 0.500)
Mg (0.000, 0.000, 0.000)
Al (0.250, 0.750, 0.500)

Properties
- formation enthalpy at 0 K (eV/atom) = -0.6067
- crystal system = tetragonal
- ρ (g/cm3) = 5.64
- space-group type = I4/mmm
- excess energy over the best structure of this formula in the dataset (kJ per mole of atoms) = 21.40
- V (Å³ per cell) = 83.6
- magnetization (μB/f.u.) = 0.0

No. 12
Sr2Re2N5 | PBE | optimized geometry

Unit cell a=3.927 b=6.060 c=6.300 alpha=101.65 beta=90.00 gamma=108.91
Sites, in units of the cell vectors:
N (0.143, 0.287, 0.594)
N (0.857, 0.713, 0.406)
N (0.683, 0.367, 0.967)
Sr (0.394, 0.787, 0.682)
N (0.317, 0.633, 0.033)
Sr (0.606, 0.213, 0.318)
Re (0.144, 0.288, 0.878)
N (0.000, 0.000, 0.000)
Re (0.856, 0.712, 0.122)

Properties
- final energy (eV/atom) = -8.228
- crystal system = monoclinic
- ρ (g/cm3) = 7.40
- space-group type = C2/m
- V (Å³ per cell) = 138.6
- magnetization (μB/f.u.) = 0.0